A plane-wave DFT calculation with GGA-PBEsol was carried out for an optimized crystal structure of MgCuO2.

Output
Crystal system: orthorhombic
Size of the total moment: 0.0001 μB/atom
Energy: -5.776 eV/atom
Energy relative to the elements, uncorrected: -6.56 eV/f.u.
Theoretical density: 5335 kg/m³

Cell lengths 6.015, 8.215, 3.019 Å; angles 90.00, 90.00, 90.00 degrees
Space group Cmme (No. 67)
Unique sites:
Mg (0.000, 0.000, 0.000) [4 per cell]
Cu (0.250, 0.250, 0.500) [4 per cell]
O (0.000, 0.250, 0.092) [4 per cell]
O (0.250, 0.000, 0.500) [4 per cell]